A plane-wave DFT calculation with GGA-PBE was carried out for an optimized crystal structure of CoSb2P.

Structure (extended XYZ):
```
4
Lattice="0.000 3.404 3.404 3.404 0.000 3.404 3.404 3.404 0.000" Properties=species:S:1:pos:R:3 pbc="T T T"
Co 0.000 0.000 0.000
Sb 3.404 3.404 3.404
Sb 5.106 5.106 5.106
P 1.702 1.702 1.702
```

Uncorrected energy (eV per formula unit): -18.05
Uncorrected formation energy (meV/atom): 677

---

A plane-wave DFT calculation with GGA-PBE was carried out for an optimized crystal structure of CoSb2P.

Structure (extended XYZ):
```
4
Lattice="3.207 0.000 0.000 0.000 3.207 0.000 0.000 0.000 7.180" Properties=species:S:1:pos:R:3 pbc="T T T"
Co 0.000 0.000 0.000
Sb 1.604 1.604 1.589
Sb 1.604 1.604 5.591
P 0.000 0.000 3.590
```

Uncorrected energy (eV per formula unit): -19.20
Uncorrected formation energy (meV/atom): 391

---

A plane-wave DFT calculation with GGA-PBE was carried out for an optimized crystal structure of CoSb2P.

Structure (extended XYZ):
```
4
Lattice="3.171 0.000 0.000 0.000 3.171 0.000 0.000 0.000 7.891" Properties=species:S:1:pos:R:3 pbc="T T T"
Co 0.000 0.000 0.000
Sb 0.000 0.000 2.759
Sb 1.586 1.586 5.926
P 1.586 1.586 0.756
```

Uncorrected energy (eV per formula unit): -20.30
Uncorrected formation energy (meV/atom): 116

---

A plane-wave DFT calculation with GGA-PBE was carried out for an optimized crystal structure of CoSb2P.

Structure (extended XYZ):
```
4
Lattice="-1.924 1.924 5.375 1.924 -1.924 5.375 1.924 1.924 -5.375" Properties=species:S:1:pos:R:3 pbc="T T T"
Co 0.000 0.000 0.000
Sb 0.000 0.000 5.375
Sb 0.000 1.924 2.687
P 1.924 0.000 2.687
```

Uncorrected energy (eV per formula unit): -18.30
Uncorrected formation energy (meV/atom): 616

---

A plane-wave DFT calculation with GGA-PBE was carried out for an optimized crystal structure of CoSbP.

Structure (extended XYZ):
```
3
Lattice="-1.474 1.474 5.930 1.474 -1.474 5.930 1.474 1.474 -5.930" Properties=species:S:1:pos:R:3 pbc="T T T"
Co 0.000 0.000 0.000
Sb 0.000 0.000 3.910
P 0.000 0.000 6.956
```

Uncorrected energy (eV per formula unit): -16.49
Uncorrected formation energy (meV/atom): 48

---

A plane-wave DFT calculation with GGA-PBE was carried out for an optimized crystal structure of CoSb2P.

Structure (extended XYZ):
```
4
Lattice="-2.256 2.256 3.711 2.256 -2.256 3.711 2.256 2.256 -3.711" Properties=species:S:1:pos:R:3 pbc="T T T"
Co 0.000 0.000 0.000
Sb 2.256 0.000 1.856
Sb 0.000 2.256 1.856
P 0.000 0.000 3.711
```

Uncorrected energy (eV per formula unit): -18.57
Uncorrected formation energy (meV/atom): 546

---

A plane-wave DFT calculation with GGA-PBE was carried out for an optimized crystal structure of CoSi2SbP.

Structure (extended XYZ):
```
5
Lattice="5.101 0.000 0.000 0.000 5.101 0.000 0.000 0.000 5.029" Properties=species:S:1:pos:R:3 pbc="T T T"
Co 0.000 0.000 0.000
Si 0.000 2.550 2.514
Si 2.550 0.000 2.514
Sb 2.550 2.550 2.514
P 2.550 2.550 0.000
```

Uncorrected energy (eV per formula unit): -18.61
Uncorrected formation energy (meV/atom): 1775

---

A plane-wave DFT calculation with GGA-PBE was carried out for an optimized crystal structure of CoSb2TeP.

Structure (extended XYZ):
```
5
Lattice="4.837 0.000 0.000 0.000 4.837 0.000 0.000 0.000 5.101" Properties=species:S:1:pos:R:3 pbc="T T T"
Co 0.000 0.000 0.000
Sb 0.000 2.418 0.000
Sb 2.418 0.000 0.000
Te 0.000 0.000 2.550
P 2.418 2.418 2.550
```

Uncorrected energy (eV per formula unit): -20.93
Uncorrected formation energy (meV/atom): 595

---

Question: Which of these has the highest uncorrected energy?
Answer: CoSbP

---

Question: uncorrected formation energy of number 8 (CoSb2TeP)?
Answer: 595 meV/atom

---

Question: Look up the uncorrected formation energy of the fourth one.
Answer: 616 meV/atom

---

Question: Among the records above, which one has the highest uncorrected energy?
Answer: CoSbP